1.
Rb2PdBr7 (PBE, relaxed); E_form (uncorrected) = -0.804 eV/atom; total energy = -0.1976 Ry/atom; D(E_F) = 0.3180 states/eV per atom
1.0
-3.8396 3.8396 5.8812
3.8396 -3.8396 5.8812
3.8396 3.8396 -5.8812
Rb Pd Br
2 1 7
Cartesian
3.8396 0.0000 2.9406
0.0000 3.8396 2.9406
0.0000 0.0000 0.0000
0.0000 0.0000 2.4975
1.8166 1.8166 0.0000
2.0231 -2.0231 5.8812
0.0000 0.0000 5.8812
-2.0231 2.0231 5.8812
2.0231 2.0231 5.8812
0.0000 0.0000 9.2649

=====

2.
Tc3BiSb (PBE, relaxed); E_form (uncorrected) = 1.602 eV/atom; total energy = -0.4571 Ry/atom; D(E_F) = 1.2990 states/eV per atom
1.0
4.9055 0.0000 0.0000
0.0000 4.9055 0.0000
0.0000 0.0000 4.9055
Tc Bi Sb
3 1 1
Cartesian
0.0000 0.0000 2.4528
0.0000 2.4528 0.0000
2.4528 0.0000 0.0000
2.4528 2.4528 2.4528
0.0000 0.0000 0.0000

=====

3.
Si2SbIr (PBE, relaxed); E_form (uncorrected) = 0.015 eV/atom; total energy = -0.4368 Ry/atom; D(E_F) = 0.2749 states/eV per atom
1.0
2.0486 1.1828 5.5244
-2.0486 1.1828 5.5244
0.0000 -2.3655 5.5244
Si Sb Ir
2 1 1
Cartesian
0.0000 0.0000 0.0000
0.0000 0.0000 4.2628
0.0000 0.0000 13.4526
0.0000 0.0000 9.6213

=====

4.
CaHfSn2 (PBE, relaxed); total energy = -0.3905 Ry/atom; D(E_F) = 0.9177 states/eV per atom; energy relative to the elements = -0.323 eV per atom
1.0
3.8023 0.0000 0.0000
0.0000 3.8023 0.0000
0.0000 0.0000 7.0461
Ca Hf Sn
1 1 2
Cartesian
0.0000 0.0000 0.0000
0.0000 0.0000 3.5231
1.9012 1.9012 2.0044
1.9012 1.9012 5.0417

=====

5.
CeSn2As2Pd7 (PBE, relaxed); total energy = -0.3972 Ry/atom; D(E_F) = 0.7496 states/eV per atom; energy relative to the elements = -0.438 eV per atom
1.0
2.8523 -2.8668 0.0000
2.8523 2.8668 0.0000
-1.3128 0.0000 14.7248
Ce Sn As Pd
1 2 2 7
Cartesian
0.0000 0.0000 0.0000
0.2097 0.0000 6.0614
4.1821 0.0000 8.6634
1.5256 0.0000 11.0776
2.8662 0.0000 3.6472
1.4356 1.4313 2.1681
1.4308 0.0000 8.6024
2.9562 1.4313 12.5567
2.8523 0.0000 0.0000
1.4356 -1.4313 2.1681
2.9611 0.0000 6.1224
2.9562 -1.4313 12.5567

=====

6.
Th2OsPt (PBE, relaxed); total energy = -0.5703 Ry/atom; D(E_F) = 1.0277 states/eV per atom; energy relative to the elements = 0.269 eV per atom
1.0
1.8832 1.0873 9.0388
-1.8832 1.0873 9.0388
0.0000 -2.1745 9.0388
Th Os Pt
2 1 1
Cartesian
0.0000 0.0000 2.5775
0.0000 0.0000 24.5388
0.0000 0.0000 0.0000
0.0000 0.0000 13.5582

=====

7.
BaLaCuRuO6 (PBE, relaxed); E_form (uncorrected) = -1.869 eV/atom; total energy = -0.5047 Ry/atom; D(E_F) = 0.2539 states/eV per atom
1.0
-2.7423 2.7423 4.3516
2.7423 -2.7423 4.3516
2.7423 2.7423 -4.3516
Ba La Cu Ru O
1 1 1 1 6
Cartesian
0.0000 0.0000 0.0000
0.0000 0.0000 4.3516
0.0000 2.7423 2.1758
2.7423 0.0000 2.1758
2.7423 0.0000 0.1776
1.6519 1.6748 -1.9438
1.0904 1.0675 2.4078
2.7423 0.0000 4.1740
3.8098 1.6519 1.9438
-1.0675 1.0904 6.2953

=====

8.
Sc3HN (PBE, relaxed); total energy = -0.4701 Ry/atom; D(E_F) = 1.2446 states/eV per atom
1.0
4.3755 0.0000 0.0000
0.0000 4.3755 0.0000
0.0000 0.0000 4.3755
Sc H N
3 1 1
Cartesian
0.0000 0.0000 2.1878
0.0000 2.1878 0.0000
2.1878 0.0000 0.0000
2.1878 2.1878 2.1878
0.0000 0.0000 0.0000

=====

9.
NaDySnO3 (PBE, relaxed); E_form (uncorrected) = -2.247 eV/atom; total energy = -0.4689 Ry/atom; D(E_F) = 0.0000 states/eV per atom
1.0
6.2613 0.0000 0.0000
0.0000 3.4035 0.0000
-0.8852 0.0000 10.3935
Na Dy Sn O
2 2 2 6
Cartesian
0.6637 0.8509 3.2080
4.7124 2.5527 7.1855
1.8325 0.8509 6.3960
3.5436 2.5527 3.9975
0.9980 2.5527 9.2231
4.3781 0.8509 1.1704
0.1320 0.8509 8.0640
1.4674 2.5527 4.9374
2.8996 0.8509 2.6188
2.4765 2.5527 7.7747
3.9088 0.8509 5.4561
5.2441 2.5527 2.3295

=====

10.
Pr5Sm5Hg2 (PBE, relaxed); total energy = -0.3033 Ry/atom; D(E_F) = 1.2351 states/eV per atom; energy relative to the elements = -0.119 eV per atom
1.0
6.2340 -2.7967 0.0000
6.2340 2.7967 0.0000
-0.0344 0.0000 11.2717
Pr Sm Hg
5 5 2
Cartesian
0.0000 0.0000 0.0000
3.9443 0.0000 6.0613
5.9469 0.0000 2.7959
6.4867 0.0000 8.4758
8.4892 0.0000 5.2104
-0.0172 0.0000 5.6358
2.2756 0.0000 2.7979
3.9020 0.0000 10.8269
8.5315 0.0000 0.4448
10.1579 0.0000 8.4738
1.7555 0.0000 8.4400
10.6780 0.0000 2.8316

=====

11.
Tb2Sc2PPb2 (PBE, relaxed); total energy = -0.4218 Ry/atom; D(E_F) = 0.6702 states/eV per atom; energy relative to the elements = -0.774 eV per atom
1.0
-2.4144 2.4144 8.0788
2.4144 -2.4144 8.0788
2.4144 2.4144 -8.0788
Tb Sc P Pb
2 2 1 2
Cartesian
0.0000 0.0000 2.7148
0.0000 0.0000 13.4429
2.4144 0.0000 0.0000
0.0000 2.4144 0.0000
0.0000 0.0000 0.0000
0.0000 0.0000 5.9205
0.0000 0.0000 10.2372

=====

12.
Tl3InTe3 (PBE, relaxed); E_form (uncorrected) = -0.297 eV/atom; total energy = -0.2241 Ry/atom
1.0
4.8083 -7.2829 0.0000
4.8083 7.2829 0.0000
-1.2305 0.0000 8.0043
Tl In Te
6 2 6
Cartesian
4.8083 4.7586 0.0000
4.1931 3.9133 4.0022
3.6402 0.0000 1.0933
4.7460 0.0000 6.9110
4.1931 -3.9133 4.0022
4.8083 -4.7586 0.0000
0.9793 0.0000 5.1780
7.4069 0.0000 2.8263
0.6475 0.0000 2.3354
2.0331 2.3141 6.2924
2.0331 -2.3141 6.2924
6.3531 2.3141 1.7119
6.3531 -2.3141 1.7119
7.7388 0.0000 5.6689

=====

Short version: M_tot = 0.00 0.67 0.00 0.00 0.04 0.00 0.20 0.00 0.00 0.00 0.00 0.00 μB per atom, in the order given.